[1]
Material: PaBP
Method: DFT, GGA-PBE
State: relaxed

Cell: 10.1618 3.2941 5.7151 Å, 90.00 94.18 90.00°
Space group C2/m (No. 12)
Inequivalent atoms, fractional coordinates:
Pa: 0.1534 0.0000 0.2874 x4
B: 0.0580 0.5000 0.6164 x4
P: 0.1209 0.0000 0.7897 x4

Values from the calculation:
Total energy, eV per cell: -94.67
Energy of formation from the pure elements, eV/atom: -0.69
D(E_F), states/eV/cell: 11.3
Mass density, g/cm³: 9.497

[2]
Material: PaBP
Method: DFT, GGA-PBE
State: relaxed

Cell: 3.8494 3.8494 7.0424 Å, 90.00 90.00 90.00°
Space group I4mm (No. 107)
Inequivalent atoms, fractional coordinates:
Pa: 0.0000 0.0000 0.0000 x2
B: 0.0000 0.0000 0.3591 x2
P: 0.0000 0.0000 0.6200 x2

Values from the calculation:
Total energy, eV per cell: -45.18
Energy of formation from the pure elements, eV/atom: -0.34
D(E_F), states/eV/cell: 6.6
Mass density, g/cm³: 8.683

Which of these has the lowest total energy? number 1

Which value of total energy does entry 1 give? -94.67 eV per cell

Among the records above, which one has the highest total energy? number 2

Repeat the first record exactly.
Material: PaBP
Method: DFT, GGA-PBE
State: relaxed

Cell: 10.1618 3.2941 5.7151 Å, 90.00 94.18 90.00°
Space group C2/m (No. 12)
Inequivalent atoms, fractional coordinates:
Pa: 0.1534 0.0000 0.2874 x4
B: 0.0580 0.5000 0.6164 x4
P: 0.1209 0.0000 0.7897 x4

Values from the calculation:
Total energy, eV per cell: -94.67
Energy of formation from the pure elements, eV/atom: -0.69
D(E_F), states/eV/cell: 11.3
Mass density, g/cm³: 9.497